# 1
Here is a geometry-optimized Dy3Zn2In structure from the Alexandria database. Energies are from PBE.

Lattice parameters (Å, degrees): 3.5700 3.5700 11.2806 90.00 90.00 90.00
Fractional coordinates of all 6 atoms:
Dy  0.0000  0.0000  0.0000
Dy  0.0000  0.0000  0.3142
Dy  0.0000  0.0000  0.6858
In  0.5000  0.5000  0.5000
Zn  0.5000  0.5000  0.1539
Zn  0.5000  0.5000  0.8461

Output
As for the formation enthalpy at 0 K: -0.3904 eV/atom. Its size of the total moment is 0.00 μB per formula unit. As for the volume: 24.0 Å³ per atom.


# 2
Here is a geometry-optimized Dy3Zn9In2 structure from the Alexandria database. Energies are from PBE.

Lattice parameters (Å, degrees): 4.3414 8.3447 8.3447 70.43 74.92 74.92
Fractional coordinates of all 14 atoms:
Dy  0.2966  0.7034  0.7034
Dy  0.7034  0.2966  0.2966
Dy  0.0000  0.0000  0.0000
Zn  0.8503  0.4228  0.8766
Zn  0.3375  0.2914  0.0337
Zn  0.6625  0.7086  0.9663
Zn  0.0000  0.5000  0.5000
Zn  0.1497  0.5772  0.1234
Zn  0.8503  0.8766  0.4228
Zn  0.3375  0.0337  0.2914
Zn  0.1497  0.1234  0.5772
Zn  0.6625  0.9663  0.7086
In  0.5000  0.3025  0.6975
In  0.5000  0.6975  0.3025

Output
As for the formation enthalpy at 0 K: -0.3118 eV/atom. Its size of the total moment is 0.00 μB per formula unit. As for the volume: 19.3 Å³ per atom.


# 3
Here is a geometry-optimized DyZnIn structure from the Alexandria database. Energies are from PBE.

Lattice parameters (Å, degrees): 4.6796 4.6796 4.6796 60.00 60.00 60.00
Fractional coordinates of all 3 atoms:
In  0.0000  0.0000  0.0000
Zn  0.2500  0.2500  0.2500
Dy  0.5000  0.5000  0.5000

Output
As for the formation enthalpy at 0 K: -0.3883 eV/atom. Its size of the total moment is 0.00 μB per formula unit. As for the volume: 24.2 Å³ per atom.


# 4
Here is a geometry-optimized Dy2ZnIn structure from the Alexandria database. Energies are from PBE.

Lattice parameters (Å, degrees): 3.6396 3.6396 7.4323 90.00 90.00 90.00
Fractional coordinates of all 4 atoms:
Zn  0.5000  0.5000  0.0000
In  0.5000  0.5000  0.5000
Dy  0.0000  0.0000  0.7696
Dy  0.0000  0.0000  0.2304

Output
As for the formation enthalpy at 0 K: -0.4176 eV/atom. Its size of the total moment is 0.00 μB per formula unit. As for the volume: 24.6 Å³ per atom.


# 5
Here is a geometry-optimized DyZrZnIn structure from the Alexandria database. Energies are from PBE.

Lattice parameters (Å, degrees): 5.0242 5.0242 5.0242 60.00 60.00 60.00
Fractional coordinates of all 4 atoms:
Dy  0.2500  0.2500  0.2500
Zr  0.7500  0.7500  0.7500
In  0.5000  0.5000  0.5000
Zn  0.0000  0.0000  0.0000

Output
As for the formation enthalpy at 0 K: -0.2709 eV/atom. Its size of the total moment is 0.00 μB per formula unit. As for the volume: 22.4 Å³ per atom.


# 6
Here is a geometry-optimized Dy2Zr2In3 structure from the Alexandria database. Energies are from PBE.

Lattice parameters (Å, degrees): 4.7254 3.2297 11.5690 90.00 78.22 90.00
Fractional coordinates of all 7 atoms:
In  0.0000  0.0000  0.0000
In  0.8428  0.0000  0.3144
In  0.1572  0.0000  0.6856
Zr  0.2883  0.5000  0.4234
Zr  0.7117  0.5000  0.5766
Dy  0.4257  0.5000  0.1487
Dy  0.5743  0.5000  0.8513

Output
As for the formation enthalpy at 0 K: -0.2313 eV/atom. Its size of the total moment is 0.00 μB per formula unit. As for the volume: 24.7 Å³ per atom.


# 7
Here is a geometry-optimized Dy2ZrIn structure from the Alexandria database. Energies are from PBE.

Lattice parameters (Å, degrees): 4.5352 4.4121 11.1529 90.00 101.77 90.00
Fractional coordinates of all 8 atoms:
Dy  0.0641  0.7500  0.1286
Dy  0.9359  0.2500  0.8714
Dy  0.4284  0.7500  0.8568
Dy  0.5716  0.2500  0.1432
In  0.8253  0.7500  0.6527
In  0.1747  0.2500  0.3473
Zr  0.3068  0.2500  0.6162
Zr  0.6932  0.7500  0.3838

Output
As for the formation enthalpy at 0 K: 0.0361 eV/atom. Its size of the total moment is 0.00 μB per formula unit. The energy above the most stable polymorph in this dataset is 0.233 eV/atom. As for the volume: 27.3 Å³ per atom.


# 8
Here is a geometry-optimized Dy2ZrIn structure from the Alexandria database. Energies are from PBE.

Lattice parameters (Å, degrees): 3.4623 3.4623 10.8163 80.79 80.79 59.98
Fractional coordinates of all 4 atoms:
Dy  0.0838  0.0838  0.7483
Dy  0.2497  0.2497  0.2511
Zr  0.5000  0.5000  0.5002
In  0.6666  0.6666  0.0004

Output
As for the formation enthalpy at 0 K: -0.1068 eV/atom. Its size of the total moment is 0.00 μB per formula unit. The energy above the most stable polymorph in this dataset is 0.090 eV/atom. As for the volume: 27.6 Å³ per atom.